# 1
La2CoHg | GGA-PBEsol | relaxed

```
4
Lattice="3.764 0.000 0.000 0.000 3.558 0.000 -1.195 0.000 7.238" Properties=species:S:1:pos:R:3 pbc="T T T"
La 0.001 0.000 2.095
La 2.567 0.000 5.143
Co 1.284 1.779 3.619
Hg 1.882 1.779 0.000
```

Calculated formation energy: -0.244 eV/atom
Total moment: 0.0 μB per formula unit
Volume: 24.2 A^3/atom
DFT total energy: -4.994 eV/atom

=====

# 2
MnCrCo2 | GGA-PBEsol | relaxed

```
4
Lattice="2.418 0.000 0.000 0.000 3.445 0.000 0.000 0.000 4.933" Properties=species:S:1:pos:R:3 pbc="T T T"
Mn 0.000 0.000 0.000
Cr 1.209 1.722 3.566
Co 0.000 0.000 2.374
Co 1.209 1.722 1.107
```

Calculated formation energy: 0.072 eV/atom
Total moment: 0.0 μB per formula unit
Volume: 10.3 A^3/atom
DFT total energy: -8.797 eV/atom

=====

# 3
Nd2ZnSb4 | GGA-PBEsol | relaxed

```
7
Lattice="4.340 0.000 0.000 0.000 4.340 0.000 0.000 0.000 9.867" Properties=species:S:1:pos:R:3 pbc="T T T"
Nd 0.000 2.170 2.441
Nd 2.170 0.000 7.426
Zn 0.000 0.000 0.000
Sb 0.000 0.000 4.933
Sb 0.000 2.170 8.351
Sb 2.170 0.000 1.516
Sb 2.170 2.170 4.933
```

Total moment: 0.0 μB per formula unit
Volume: 26.6 A^3/atom
DFT total energy: -5.066 eV/atom

=====

# 4
TlCrBr2 | GGA-PBEsol | relaxed

```
4
Lattice="3.781 0.000 0.000 0.000 3.781 0.000 0.000 0.000 8.057" Properties=species:S:1:pos:R:3 pbc="T T T"
Tl 0.000 0.000 0.000
Cr 1.890 1.890 4.364
Br 0.000 0.000 4.688
Br 1.890 1.890 1.791
```

Total moment: 4.8 μB per formula unit
Volume: 28.8 A^3/atom
DFT total energy: -4.343 eV/atom

=====

# 5
FeP2Ir | GGA-PBEsol | relaxed

```
4
Lattice="3.210 0.000 0.000 0.000 3.210 0.000 0.000 0.000 4.815" Properties=species:S:1:pos:R:3 pbc="T T T"
Fe 0.000 0.000 0.000
P 0.000 0.000 2.539
P 1.605 1.605 4.199
Ir 1.605 1.605 1.783
```

Calculated formation energy: -0.310 eV/atom
Total moment: 0.8 μB per formula unit
Volume: 12.4 A^3/atom
DFT total energy: -7.903 eV/atom

=====

# 6
MnHgSb2I | GGA-PBEsol | relaxed

```
5
Lattice="5.447 0.000 0.000 0.000 5.447 0.000 0.000 0.000 5.817" Properties=species:S:1:pos:R:3 pbc="T T T"
Mn 0.000 0.000 0.000
Hg 2.723 2.723 2.908
Sb 0.000 2.723 2.908
Sb 2.723 0.000 2.908
I 2.723 2.723 0.000
```

Total moment: 4.1 μB per formula unit
Volume: 34.5 A^3/atom
DFT total energy: -3.155 eV/atom

=====

# 7
Ir3Cl | GGA-PBEsol | relaxed

```
4
Lattice="2.757 0.000 0.000 0.000 3.650 0.000 0.000 0.000 6.112" Properties=species:S:1:pos:R:3 pbc="T T T"
Ir 0.000 0.000 0.000
Ir 1.379 1.825 1.325
Ir 1.379 1.825 4.787
Cl 1.379 0.000 3.056
```

Total moment: 0.0 μB per formula unit
Volume: 15.4 A^3/atom
DFT total energy: -7.375 eV/atom

=====

# 8
CdRh | GGA-PBEsol | relaxed

```
4
Lattice="5.105 -1.433 0.000 5.105 1.433 0.000 -1.925 0.000 4.392" Properties=species:S:1:pos:R:3 pbc="T T T"
Cd 0.565 0.000 1.329
Cd 7.719 0.000 3.062
Rh 3.303 0.000 0.798
Rh 4.981 0.000 3.593
```

Calculated formation energy: -0.044 eV/atom
Total moment: 0.0 μB per formula unit
Volume: 16.1 A^3/atom
DFT total energy: -4.712 eV/atom